A plane-wave DFT calculation with GGA-PBEsol was carried out for a geometry-optimized RbPd2CI structure. Values from VASP.

## Properties
The value obtained for the uncorrected energy is -3.60 eV per atom. As for the symmetry: No. 123. For the volume, the calculation gives 24.91 Å³ per atom.

Quantum ESPRESSO input file:
```
&SYSTEM
  ibrav = 0, nat = 5, ntyp = 4
/
ATOMIC_SPECIES
I 126.90 I.upf
C 12.01 C.upf
Rb 85.47 Rb.upf
Pd 106.42 Pd.upf
CELL_PARAMETERS angstrom
-3.5644 0.8478 -3.3813
-2.5945 -3.8751 1.7633
-2.3403 3.0358 3.2281
ATOMIC_POSITIONS angstrom
I 0.0000 0.0000 0.0000
C -1.1701 1.5179 1.6141
Rb -4.2496 0.0042 0.8051
Pd -1.2972 -1.9376 0.8817
Pd -1.7822 0.4239 -1.6907
```